## Sc2AlAg (PBE)

Data for a relaxed structure of Sc2AlAg.

The total energy comes out at -78.28 eV/cell. The value obtained for the density is 4.73 g/cm3. The calculation puts the formation energy at -0.313 eV per formula unit.

It has space group F-43m (No. 216), with a = 6.811 Å, b = 6.811 Å, c = 6.811 Å, α = 90.00°, β = 90.00° and γ = 90.00°. Symmetry generates all atoms from Sc at (0.000, 0.000, 0.000), Sc at (0.250, 0.250, 0.250), Al at (0.000, 0.000, 0.500) and Ag at (0.250, 0.250, 0.750).



## RbB3S (PBE)

Data for a relaxed structure of RbB3S.

The total energy comes out at -14.97 eV/cell. The value obtained for the density is 3.25 g/cm3. Its formation energy without anion corrections is 2.031 eV/atom.

It has space group Pm-3m (No. 221), with a = 4.249 Å, b = 4.249 Å, c = 4.249 Å, α = 90.00°, β = 90.00° and γ = 90.00°. Symmetry generates all atoms from Rb at (0.000, 0.000, 0.000), B at (0.000, 0.500, 0.500) and S at (0.500, 0.500, 0.500).



## GdURu2 (PBE)

Data for a relaxed structure of GdURu2.

The total energy comes out at -178.52 eV/cell. The value obtained for the density is 12.57 g/cm3. The calculation puts the formation energy at -0.710 eV per formula unit.

It has space group Fm-3m (No. 225), with a = 6.810 Å, b = 6.810 Å, c = 6.810 Å, α = 90.00°, β = 90.00° and γ = 90.00°. Symmetry generates all atoms from Gd at (0.000, 0.000, 0.000), U at (0.000, 0.000, 0.500) and Ru at (0.250, 0.250, 0.250).



## Li7Cd3Cu (PBE)

Data for a relaxed structure of Li7Cd3Cu.

The total energy comes out at -85.46 eV/cell. The value obtained for the density is 3.68 g/cm3. The calculation puts the formation energy at -1.127 eV per formula unit.

It has space group Cmcm (No. 63), with a = 2.944 Å, b = 20.439 Å, c = 13.493 Å, α = 90.00°, β = 90.00° and γ = 90.00°. Symmetry generates all atoms from Li at (0.000, 0.019, 0.141), Li at (0.000, 0.110, 0.750), Li at (0.000, 0.158, 0.120), Li at (0.000, 0.199, 0.570), Cd at (0.000, 0.259, 0.750), Cd at (0.000, 0.421, 0.030) and Cu at (0.000, 0.402, 0.750).



## Ca4HgAu (PBE)

Data for a relaxed structure of Ca4HgAu.

The total energy comes out at -28.13 eV/cell. The value obtained for the density is 4.62 g/cm3. The calculation puts the formation energy at -2.477 eV per formula unit.

It has space group C2/m (No. 12), with a = 7.385 Å, b = 7.385 Å, c = 7.353 Å, α = 90.00°, β = 90.07° and γ = 90.00°. Symmetry generates all atoms from Ca at (0.250, 0.250, 0.243), Hg at (0.000, 0.000, 0.500) and Au at (0.000, 0.500, 0.000).



## AcYTeAs (PBE)

Data for a relaxed structure of AcYTeAs.

The total energy comes out at -73.30 eV/cell. The value obtained for the density is 6.93 g/cm3. Its formation energy without anion corrections is -1.517 eV/atom.

It has space group R3m (No. 160, hexagonal axes), with a = 4.3876 Å, b = 4.3876 Å, c = 22.3548 Å, α = 90.00°, β = 90.00° and γ = 120.00°. Symmetry generates all atoms from Ac at (0.0000, 0.0000, 0.0000), Y at (0.0000, 0.0000, 0.4806), Te at (0.0000, 0.0000, 0.2326) and As at (0.0000, 0.0000, 0.7486).



## SbPbS2 (PBE)

Data for a relaxed structure of SbPbS2.

The total energy comes out at -67.45 eV/cell. The value obtained for the density is 5.39 g/cm3. Its formation energy without anion corrections is -0.194 eV/atom.

It has space group Pnma (No. 62), with a = 5.852 Å, b = 4.973 Å, c = 16.645 Å, α = 90.00°, β = 90.00° and γ = 90.00°. Symmetry generates all atoms from Sb at (0.234, 0.250, 0.145), Pb at (0.240, 0.250, 0.942), S at (0.187, 0.750, 0.847) and S at (0.235, 0.250, 0.583).



## RbTlTc2O8 (PBE)

Data for a relaxed structure of RbTlTc2O8.

The total energy comes out at -163.61 eV/cell. The value obtained for the density is 3.69 g/cm3. Its formation energy without anion corrections is -1.506 eV/atom.

It has space group C2/m (No. 12), with a = 9.221 Å, b = 6.565 Å, c = 9.134 Å, α = 90.00°, β = 91.17° and γ = 90.00°. Symmetry generates all atoms from Rb at (0.000, 0.000, 0.000), Tl at (0.000, 0.000, 0.500), Tc at (0.097, 0.500, 0.256), O at (0.010, 0.280, 0.745), O at (0.202, 0.500, 0.100) and O at (0.205, 0.500, 0.414).